(1)
A relaxed Cs2CePrSe4 crystal, computed with PBE.

CIF file:
```
data_Cs2CePrSe4
_chemical_formula_sum 'Cs2 Ce1 Pr1 Se4'
_space_group_name_H-M_alt 'P 1'
_space_group_IT_number 1
_cell_length_a 4.4434
_cell_length_b 7.6915
_cell_length_c 8.7688
_cell_angle_alpha 106.99
_cell_angle_beta 90.00
_cell_angle_gamma 90.00
loop_
_space_group_symop_operation_xyz
'x,y,z'
loop_
_atom_site_label
_atom_site_fract_x
_atom_site_fract_y
_atom_site_fract_z
Cs1 0.5000 0.0000 0.5000
Cs2 0.0000 0.5000 0.5000
Ce1 0.5000 0.5000 0.0000
Pr1 0.0000 0.0000 0.0000
Se1 0.5000 0.2314 0.1909
Se2 0.5000 0.7686 0.8091
Se3 0.0000 0.2715 0.8105
Se4 0.0000 0.7285 0.1895
```

## Properties
Energy relative to the elements, uncorrected in eV per atom: -1.696
Space-group type: P2/m (10)
Final energy in eV/cell: -39.93
Magnetization in μB per formula unit: 1.01
Density of states at the Fermi level in states/eV/f.u.: 5.6
Calculated density in g cm⁻³: 5.0

(2)
A relaxed SmErTh2 crystal, computed with PBE.

CIF file:
```
data_SmErTh2
_chemical_formula_sum 'Sm2 Er2 Th4'
_space_group_name_H-M_alt 'P 1'
_space_group_IT_number 1
_cell_length_a 5.0439
_cell_length_b 5.0692
_cell_length_c 11.2974
_cell_angle_alpha 90.00
_cell_angle_beta 116.43
_cell_angle_gamma 90.00
loop_
_space_group_symop_operation_xyz
'x,y,z'
loop_
_atom_site_label
_atom_site_fract_x
_atom_site_fract_y
_atom_site_fract_z
Sm1 0.3694 0.2500 0.3698
Sm2 0.6306 0.7500 0.6302
Er1 0.8696 0.7500 0.3698
Er2 0.1304 0.2500 0.6302
Th1 0.6218 0.2500 0.1213
Th2 0.3782 0.7500 0.8787
Th3 0.1229 0.7500 0.1229
Th4 0.8771 0.2500 0.8771
```

## Properties
Formation enthalpy at 0 K in eV/atom: 0.030
Space-group type: P2_1/m (11)
Polymorph energy (0 for the lowest one) in eV per formula unit: 0.00
Final energy in eV/cell: -48.00
Magnetization in μB per formula unit: 0.00
Density of states at the Fermi level in states/eV/f.u.: 6.7
Calculated density in g cm⁻³: 10.0

(3)
A relaxed TiCuGeAu2 crystal, computed with PBE.

CIF file:
```
data_TiCuGeAu2
_chemical_formula_sum 'Ti1 Cu1 Ge1 Au2'
_space_group_name_H-M_alt 'P 1'
_space_group_IT_number 1
_cell_length_a 4.7416
_cell_length_b 4.5574
_cell_length_c 4.7416
_cell_angle_alpha 90.00
_cell_angle_beta 90.00
_cell_angle_gamma 90.00
loop_
_space_group_symop_operation_xyz
'x,y,z'
loop_
_atom_site_label
_atom_site_fract_x
_atom_site_fract_y
_atom_site_fract_z
Ge1 0.5000 0.5000 0.5000
Au1 0.0000 0.0000 0.5000
Au2 0.5000 0.0000 0.0000
Cu1 0.0000 0.0000 0.0000
Ti1 0.0000 0.5000 0.0000
```

## Properties
Formation enthalpy at 0 K in eV/atom: 0.545
Space-group type: P4/mmm (123)
Final energy in eV/cell: -20.44
Magnetization in μB per formula unit: 0.00
Density of states at the Fermi level in states/eV/f.u.: 4.6
Calculated density in g cm⁻³: 9.4

Please write out number 3 again, unchanged.
A relaxed TiCuGeAu2 crystal, computed with PBE.

CIF file:
```
data_TiCuGeAu2
_chemical_formula_sum 'Ti1 Cu1 Ge1 Au2'
_space_group_name_H-M_alt 'P 1'
_space_group_IT_number 1
_cell_length_a 4.7416
_cell_length_b 4.5574
_cell_length_c 4.7416
_cell_angle_alpha 90.00
_cell_angle_beta 90.00
_cell_angle_gamma 90.00
loop_
_space_group_symop_operation_xyz
'x,y,z'
loop_
_atom_site_label
_atom_site_fract_x
_atom_site_fract_y
_atom_site_fract_z
Ge1 0.5000 0.5000 0.5000
Au1 0.0000 0.0000 0.5000
Au2 0.5000 0.0000 0.0000
Cu1 0.0000 0.0000 0.0000
Ti1 0.0000 0.5000 0.0000
```

## Properties
Formation enthalpy at 0 K in eV/atom: 0.545
Space-group type: P4/mmm (123)
Final energy in eV/cell: -20.44
Magnetization in μB per formula unit: 0.00
Density of states at the Fermi level in states/eV/f.u.: 4.6
Calculated density in g cm⁻³: 9.4

> Which of these has the highest magnetization?

Cs2CePrSe4

> Look up the magnetization of the third one.

0.00 μB per formula unit

> Which of these has the highest final energy?

TiCuGeAu2